Material: CdPdRhF2
Method: DFT, GGA-PBEsol
State: optimized geometry

Cell lengths 4.055, 4.055, 5.586 Å; angles 90.00, 90.00, 90.00 degrees
Each line ends with the local moment (μB).
Fractional positions:
F 0.000 0.500 0.000  0.01
F 0.500 0.000 0.000  0.01
Rh 0.500 0.500 0.500  1.53
Pd 0.000 0.000 0.500  0.37
Cd 0.000 0.000 0.000  0.00

Values from the calculation:
Magnetic moment: 2.05 Bohr magnetons per cell
Uncorrected formation energy: -0.042 eV/atom